No. 1
A plane-wave DFT calculation with PBE was carried out for a relaxed Pm6TmTl4 crystal.

The structure in extended XYZ format:
```
11
Lattice="-6.019 -7.485 -0.255 4.599 5.542 6.361 -0.149 9.594 -0.509" Properties=species:S:1:pos:R:3 pbc="T T T"
Tl 2.853 4.501 3.914
Tm 0.000 0.000 0.000
Pm -2.787 -2.661 0.357
Tl 0.864 9.634 5.084
Pm -0.710 -0.971 3.053
Pm -0.373 4.903 3.149
Pm -3.084 1.054 -0.382
Pm 1.892 11.235 2.339
Tl 0.407 6.589 0.374
Pm 4.147 9.310 5.603
Tl -1.244 2.063 2.077
```

Results
Space group: No. 121

=====

No. 2
A plane-wave DFT calculation with PBE was carried out for a relaxed Pm6TmTl3 crystal.

The structure in extended XYZ format:
```
20
Lattice="-3.771 3.594 -0.992 2.414 -0.253 -10.097 -8.104 -8.299 0.736" Properties=species:S:1:pos:R:3 pbc="T T T"
Pm -8.845 -4.984 -5.699
Pm -1.489 1.632 -9.688
Tl -2.584 2.344 -2.948
Pm -5.024 -1.557 -7.808
Tm -3.458 -4.295 -9.504
Tl -2.959 0.878 -6.836
Tl -2.803 -2.465 -5.366
Pm -7.141 -4.124 -9.058
Pm -4.437 -3.401 -2.544
Pm -1.320 -1.696 -8.217
Pm -4.905 -4.932 -6.311
Tl -6.877 -7.302 -7.405
Tl -6.657 -2.493 -4.987
Pm -2.319 -0.835 -1.295
Tl -6.502 -5.836 -3.517
Pm -0.615 0.026 -4.654
Pm -4.555 -0.026 -4.042
Pm -7.971 -6.591 -0.665
Pm -8.141 -3.262 -2.136
Tm -6.002 -0.663 -0.849
```

Results
Space group: No. 11

=====

No. 3
A plane-wave DFT calculation with PBE was carried out for a relaxed Pm2TmTl4 crystal.

The structure in extended XYZ format:
```
7
Lattice="-4.197 3.171 -3.948 -3.065 -3.940 4.282 3.422 4.097 3.842" Properties=species:S:1:pos:R:3 pbc="T T T"
Tm 0.000 0.000 0.000
Tl -2.098 1.586 -1.974
Tl 1.711 2.049 1.921
Tl -1.920 1.664 2.088
Tl -1.533 -1.970 2.141
Pm -3.631 -0.385 0.167
Pm -0.387 3.634 -0.053
```

Results
E above lowest polymorph in meV per atom: 8
Space group: No. 139

=====

No. 4
A plane-wave DFT calculation with PBE was carried out for a relaxed Pm3Tm4Tl crystal.

The structure in extended XYZ format:
```
8
Lattice="-0.427 -1.408 3.283 -1.094 -3.096 -1.470 18.049 -6.226 -0.320" Properties=species:S:1:pos:R:3 pbc="T T T"
Pm 3.528 -3.731 0.830
Tm 6.677 -2.303 -0.118
Tl -0.761 -2.252 0.907
Pm 13.000 -6.999 0.662
Pm 8.264 -5.365 0.746
Tm 1.948 -0.672 -0.035
Tm 11.372 -3.923 -0.202
Tm 16.101 -5.554 -0.286
```

Results
Space group: No. 123

=====

No. 5
A plane-wave DFT calculation with PBE was carried out for a relaxed PmTm8Tl6 crystal.

The structure in extended XYZ format:
```
15
Lattice="9.010 0.000 0.000 4.505 7.803 0.000 4.505 2.601 6.487" Properties=species:S:1:pos:R:3 pbc="T T T"
Pm 0.000 0.000 0.000
Tm 13.515 7.803 6.479
Tm 4.505 2.601 0.008
Tm 7.498 7.797 2.139
Tm 10.502 7.809 4.348
Tl 7.484 7.758 5.212
Tm 6.007 5.190 4.348
Tm 7.519 2.595 2.139
Tl 11.987 5.246 5.212
Tm 10.522 2.607 4.348
Tl 7.560 2.602 5.212
Tl 10.537 2.646 1.275
Tl 6.034 5.158 1.275
Tl 10.461 7.802 1.275
Tm 12.014 5.214 2.139
```

Results
Space group: No. 148

=====

No. 6
A plane-wave DFT calculation with PBE was carried out for a relaxed Pm2Tm5Tl4 crystal.

The structure in extended XYZ format:
```
11
Lattice="3.450 0.000 0.000 0.000 7.897 0.424 -1.725 -1.767 12.114" Properties=species:S:1:pos:R:3 pbc="T T T"
Tm 1.725 5.482 9.085
Pm 1.725 0.698 9.913
Pm 0.000 5.431 2.626
Tl 0.000 2.611 1.052
Tm 1.725 0.540 6.449
Tm 0.000 0.648 3.454
Tl 1.725 3.519 11.487
Tm 0.000 5.590 6.090
Tm 1.725 0.000 0.000
Tl 1.725 3.165 4.555
Tl 0.000 2.964 7.983
```

Results
Space group: No. 12

=====

No. 7
A plane-wave DFT calculation with PBE was carried out for a relaxed Pm4TmTl crystal.

The structure in extended XYZ format:
```
12
Lattice="6.514 -0.748 0.000 -2.600 8.734 0.000 -1.957 -3.993 7.162" Properties=species:S:1:pos:R:3 pbc="T T T"
Tm 1.628 -0.187 5.878
Tl 1.628 -0.187 0.008
Tm 0.329 4.180 1.284
Tl 0.329 4.180 7.153
Pm 0.090 0.804 2.727
Pm -1.209 5.171 4.435
Pm 3.589 2.012 1.716
Pm 1.867 3.188 4.435
Pm 3.167 -1.178 2.727
Pm -1.625 -1.606 5.446
Pm -1.632 1.980 5.446
Pm 3.582 5.599 1.716
```

Results
E above lowest polymorph in meV per atom: 81
Space group: No. 15

=====

No. 8
A plane-wave DFT calculation with PBE was carried out for a relaxed Pm6Tm5Tl crystal.

The structure in extended XYZ format:
```
12
Lattice="-4.708 -1.001 -1.476 5.274 -6.920 -3.553 -0.041 -0.949 9.350" Properties=species:S:1:pos:R:3 pbc="T T T"
Pm 2.749 -6.179 3.992
Pm -0.759 -1.186 3.223
Pm 1.285 -7.683 1.098
Pm -2.224 -2.690 0.329
Pm -0.493 -5.685 5.414
Tm 0.263 -4.434 2.160
Pm 1.018 -3.184 -1.094
Tm 3.489 -4.914 0.780
Tm -1.500 -2.454 6.440
Tm 1.744 -2.954 5.016
Tm 2.025 -6.415 -2.120
Tl 0.000 0.000 0.000
```

Results
Space group: No. 71

=====

no.,formation energy from the elements (eV per atom),E_tot (Ry/atom)
1,-0.16,-0.2956
2,-0.19,-0.3087
3,-0.23,-0.2628
4,-0.08,-0.3227
5,-0.11,-0.2761
6,-0.04,-0.2787
7,-0.02,-0.3179
8,-0.03,-0.3283